1.
Re2MoRu | the Alexandria database | GGA-PBE | relaxed; theoretical density = 15.5 g cm⁻³; energy above the lowest structure with this stoichiometry = 258 meV per atom; space-group type = P4mm (99); formation energy from the elements = 272 meV/atom; total magnetic moment = 0.00 μB/cell
1.0
3.217 0.000 0.000
0.000 3.217 0.000
0.000 0.000 5.889
Re Mo Ru
2 1 1
direct
0.000 0.000 0.000 Re
0.500 0.500 0.226 Re
0.500 0.500 0.718 Mo
0.000 0.000 0.514 Ru

---

2.
ReMoRu2 | the Alexandria database | GGA-PBE | relaxed; theoretical density = 13.7 g cm⁻³; energy above the lowest structure with this stoichiometry = 11 meV per atom; space-group type = P4/mmm (123); formation energy from the elements = 32 meV/atom; total magnetic moment = 0.00 μB/cell
1.0
2.754 0.000 0.000
0.000 2.754 0.000
0.000 0.000 7.733
Re Mo Ru
1 1 2
direct
0.000 0.000 0.000 Re
0.000 0.000 0.500 Mo
0.500 0.500 0.245 Ru
0.500 0.500 0.755 Ru

---

3.
ReMoRu2 | the Alexandria database | GGA-PBE | relaxed; theoretical density = 13.7 g cm⁻³; energy above the lowest structure with this stoichiometry = 30 meV per atom; space-group type = I-4m2 (119); formation energy from the elements = 52 meV/atom; total magnetic moment = 0.00 μB/cell
1.0
-1.934 1.934 3.922
1.934 -1.934 3.922
1.934 1.934 -3.922
Re Mo Ru
1 1 2
direct
0.000 0.000 0.000 Re
0.750 0.250 0.500 Mo
0.250 0.750 0.500 Ru
0.500 0.500 0.000 Ru

---

4.
Re2MoRu | the Alexandria database | GGA-PBE | relaxed; theoretical density = 15.8 g cm⁻³; energy above the lowest structure with this stoichiometry = 108 meV per atom; space-group type = R3m (160); formation energy from the elements = 122 meV/atom; total magnetic moment = 0.00 μB/cell
1.0
1.379 0.796 9.105
-1.379 0.796 9.105
0.000 -1.592 9.105
Re Mo Ru
2 1 1
direct
0.000 0.000 0.000 Re
0.253 0.253 0.253 Re
0.754 0.754 0.754 Mo
0.502 0.502 0.502 Ru

---

5.
ReMoRu2S | the Alexandria database | GGA-PBE | relaxed; formation energy without anion corrections = 1.838 eV per atom; theoretical density = 8.8 g cm⁻³; space-group type = P4/mmm (123); total magnetic moment = 3.57 μB/cell
1.0
4.663 0.000 0.000
0.000 4.663 0.000
0.000 0.000 4.463
Re Mo Ru S
1 1 2 1
direct
0.000 0.000 0.000 Re
0.500 0.500 0.500 Mo
0.000 0.500 0.500 Ru
0.500 0.000 0.500 Ru
0.500 0.500 0.000 S

---

6.
ScReMoRu | the Alexandria database | GGA-PBE | relaxed; theoretical density = 11.3 g cm⁻³; space-group type = F-43m (216); formation energy from the elements = -187 meV/atom; total magnetic moment = 0.00 μB/cell
1.0
0.000 3.160 3.160
3.160 0.000 3.160
3.160 3.160 0.000
Sc Re Mo Ru
1 1 1 1
direct
0.000 0.000 0.000 Sc
0.750 0.750 0.750 Re
0.500 0.500 0.500 Mo
0.250 0.250 0.250 Ru

---

7.
ReSn2MoRu | the Alexandria database | GGA-PBE | relaxed; theoretical density = 9.0 g cm⁻³; space-group type = P4/mmm (123); formation energy from the elements = 1587 meV/atom; total magnetic moment = 3.04 μB/cell
1.0
4.950 0.000 0.000
0.000 4.950 0.000
0.000 0.000 4.671
Re Sn Mo Ru
1 2 1 1
direct
0.000 0.000 0.000 Re
0.000 0.500 0.500 Sn
0.500 0.000 0.500 Sn
0.500 0.500 0.000 Mo
0.500 0.500 0.500 Ru

---

8.
TaReMoRu | the Alexandria database | GGA-PBE | relaxed; theoretical density = 14.9 g cm⁻³; space-group type = F-43m (216); formation energy from the elements = -57 meV/atom; total magnetic moment = 0.00 μB/cell
1.0
0.000 3.158 3.158
3.158 0.000 3.158
3.158 3.158 0.000
Ta Re Mo Ru
1 1 1 1
direct
0.000 0.000 0.000 Ta
0.250 0.250 0.250 Re
0.500 0.500 0.500 Mo
0.750 0.750 0.750 Ru

---

9.
ReTcMoRu | the Alexandria database | GGA-PBE | relaxed; theoretical density = 13.3 g cm⁻³; space-group type = F-43m (216); formation energy from the elements = 303 meV/atom; total magnetic moment = 1.15 μB/cell
1.0
0.000 3.110 3.110
3.110 0.000 3.110
3.110 3.110 0.000
Re Tc Mo Ru
1 1 1 1
direct
0.000 0.000 0.000 Re
0.500 0.500 0.500 Tc
0.250 0.250 0.250 Mo
0.750 0.750 0.750 Ru

---

10.
ReTeMoRu2 | the Alexandria database | GGA-PBE | relaxed; formation energy without anion corrections = 2.201 eV per atom; theoretical density = 9.5 g cm⁻³; space-group type = P4/mmm (123); total magnetic moment = 2.66 μB/cell
1.0
4.691 0.000 0.000
0.000 4.691 0.000
0.000 0.000 4.848
Re Te Mo Ru
1 1 1 2
direct
0.000 0.000 0.000 Re
0.500 0.500 0.500 Te
0.500 0.500 0.000 Mo
0.000 0.500 0.500 Ru
0.500 0.000 0.500 Ru

---

11.
VReMoRu | the Alexandria database | GGA-PBE | relaxed; theoretical density = 12.3 g cm⁻³; space-group type = F-43m (216); formation energy from the elements = -34 meV/atom; total magnetic moment = 0.00 μB/cell
1.0
0.000 3.081 3.081
3.081 0.000 3.081
3.081 3.081 0.000
V Re Mo Ru
1 1 1 1
direct
0.000 0.000 0.000 V
0.750 0.750 0.750 Re
0.500 0.500 0.500 Mo
0.250 0.250 0.250 Ru

---

12.
ZnReMo2Ru | the Alexandria database | GGA-PBE | relaxed; theoretical density = 10.4 g cm⁻³; space-group type = P4/mmm (123); formation energy from the elements = 1784 meV/atom; total magnetic moment = 0.00 μB/cell
1.0
4.464 0.000 0.000
0.000 4.464 0.000
0.000 0.000 4.358
Zn Re Mo Ru
1 1 2 1
direct
0.000 0.000 0.000 Zn
0.500 0.500 0.500 Re
0.000 0.500 0.000 Mo
0.500 0.000 0.000 Mo
0.000 0.000 0.500 Ru

---

13.
Re2Mo2S | the Alexandria database | GGA-PBE | relaxed; formation energy without anion corrections = 0.560 eV per atom; theoretical density = 11.9 g cm⁻³; energy above the lowest structure with this stoichiometry = 0 meV per atom; space-group type = P4/mbm (127); total magnetic moment = 0.00 μB/cell
1.0
7.568 0.000 0.000
0.000 7.568 0.000
0.000 0.000 2.913
Re Mo S
4 4 2
direct
0.133 0.367 0.000 Re
0.367 0.867 0.000 Re
0.633 0.133 0.000 Re
0.867 0.633 0.000 Re
0.158 0.658 0.500 Mo
0.342 0.158 0.500 Mo
0.658 0.842 0.500 Mo
0.842 0.342 0.500 Mo
0.000 0.000 0.500 S
0.500 0.500 0.500 S

---

14.
Re2MoS5 | the Alexandria database | GGA-PBE | relaxed; formation energy without anion corrections = -0.052 eV per atom; theoretical density = 5.4 g cm⁻³; space-group type = Cm (8); total magnetic moment = 0.00 μB/cell
1.0
5.482 -3.375 0.000
5.482 3.375 0.000
-2.274 0.000 5.232
Re Mo S
2 1 5
direct
0.000 0.000 0.000 Re
0.601 0.601 0.590 Re
0.625 0.625 0.089 Mo
0.261 0.680 0.753 S
0.344 0.873 0.334 S
0.680 0.261 0.753 S
0.791 0.791 0.936 S
0.873 0.344 0.334 S

---

15.
Re2MoS | the Alexandria database | GGA-PBE | relaxed; formation energy without anion corrections = 0.969 eV per atom; theoretical density = 10.2 g cm⁻³; space-group type = I-42d (122); total magnetic moment = 0.00 μB/cell
1.0
-2.766 2.766 5.338
2.766 -2.766 5.338
2.766 2.766 -5.338
Re Mo S
4 2 2
direct
0.092 0.625 0.967 Re
0.375 0.342 0.467 Re
0.658 0.125 0.033 Re
0.875 0.908 0.533 Re
0.250 0.750 0.500 Mo
0.500 0.500 0.000 Mo
0.000 0.000 0.000 S
0.750 0.250 0.500 S

---

16.
Re3MoS | the Alexandria database | GGA-PBE | relaxed; formation energy without anion corrections = 1.011 eV per atom; theoretical density = 14.1 g cm⁻³; energy above the lowest structure with this stoichiometry = 0 meV per atom; space-group type = Pm-3m (221); total magnetic moment = 0.00 μB/cell
1.0
4.328 0.000 0.000
0.000 4.328 0.000
0.000 0.000 4.328
Re Mo S
3 1 1
direct
0.000 0.000 0.500 Re
0.000 0.500 0.000 Re
0.500 0.000 0.000 Re
0.500 0.500 0.500 Mo
0.000 0.000 0.000 S

---

17.
Re3MoS | the Alexandria database | GGA-PBE | relaxed; formation energy without anion corrections = 2.614 eV per atom; theoretical density = 10.8 g cm⁻³; energy above the lowest structure with this stoichiometry = 1604 meV per atom; space-group type = Pm-3m (221); total magnetic moment = 1.99 μB/cell
1.0
4.727 0.000 0.000
0.000 4.727 0.000
0.000 0.000 4.727
Re Mo S
3 1 1
direct
0.000 0.000 0.500 Re
0.000 0.500 0.000 Re
0.500 0.000 0.000 Re
0.000 0.000 0.000 Mo
0.500 0.500 0.500 S

---

18.
ReMoS4 | the Alexandria database | GGA-PBE | relaxed; formation energy without anion corrections = -0.428 eV per atom; theoretical density = 6.9 g cm⁻³; energy above the lowest structure with this stoichiometry = 174 meV per atom; space-group type = P2_1/c (14); total magnetic moment = 0.00 μB/cell
1.0
6.376 0.000 0.000
0.000 5.198 0.000
-3.180 0.000 5.942
Re Mo S
2 2 8
direct
0.000 0.000 0.000 Re
0.000 0.500 0.500 Re
0.500 0.000 0.000 Mo
0.500 0.500 0.500 Mo
0.178 0.192 0.360 S
0.178 0.308 0.860 S
0.317 0.694 0.138 S
0.317 0.806 0.638 S
0.683 0.194 0.362 S
0.683 0.306 0.862 S
0.822 0.692 0.140 S
0.822 0.808 0.640 S

---

19.
Re2Mo2S | the Alexandria database | GGA-PBE | relaxed; formation energy without anion corrections = 0.674 eV per atom; theoretical density = 10.6 g cm⁻³; energy above the lowest structure with this stoichiometry = 114 meV per atom; space-group type = I4/mmm (139); total magnetic moment = 0.00 μB/cell
1.0
-1.911 1.911 6.401
1.911 -1.911 6.401
1.911 1.911 -6.401
Re Mo S
2 2 1
direct
0.250 0.750 0.500 Re
0.750 0.250 0.500 Re
0.118 0.118 0.000 Mo
0.882 0.882 0.000 Mo
0.500 0.500 0.000 S

---

20.
ReMo2S | the Alexandria database | GGA-PBE | relaxed; formation energy without anion corrections = 0.759 eV per atom; theoretical density = 8.4 g cm⁻³; space-group type = I-42d (122); total magnetic moment = 0.00 μB/cell
1.0
-2.952 2.952 4.680
2.952 -2.952 4.680
2.952 2.952 -4.680
Re Mo S
2 4 2
direct
0.000 0.000 0.000 Re
0.750 0.250 0.500 Re
0.144 0.625 0.019 Mo
0.375 0.394 0.519 Mo
0.606 0.125 0.981 Mo
0.875 0.856 0.481 Mo
0.250 0.750 0.500 S
0.500 0.500 0.000 S

---

21.
ReMoS3 | the Alexandria database | GGA-PBE | relaxed; formation energy without anion corrections = 0.876 eV per atom; theoretical density = 6.3 g cm⁻³; energy above the lowest structure with this stoichiometry = 0 meV per atom; space-group type = Pm-3m (221); total magnetic moment = 4.08 μB/cell
1.0
4.632 0.000 0.000
0.000 4.632 0.000
0.000 0.000 4.632
Re Mo S
1 1 3
direct
0.000 0.000 0.000 Re
0.500 0.500 0.500 Mo
0.000 0.000 0.500 S
0.000 0.500 0.000 S
0.500 0.000 0.000 S

---

22.
ReMoS4 | the Alexandria database | GGA-PBE | relaxed; formation energy without anion corrections = -0.602 eV per atom; theoretical density = 5.4 g cm⁻³; energy above the lowest structure with this stoichiometry = 0 meV per atom; space-group type = Cm (8); total magnetic moment = 0.00 μB/cell
1.0
7.014 -1.585 0.000
7.014 1.585 0.000
-1.042 0.000 5.627
Re Mo S
1 1 4
direct
0.000 0.000 0.000 Re
0.507 0.507 0.403 Mo
0.128 0.128 0.334 S
0.380 0.380 0.067 S
0.599 0.599 0.827 S
0.908 0.908 0.587 S

---

23.
ReMo3S | the Alexandria database | GGA-PBE | relaxed; formation energy without anion corrections = 1.898 eV per atom; theoretical density = 7.8 g cm⁻³; energy above the lowest structure with this stoichiometry = 1166 meV per atom; space-group type = Pm-3m (221); total magnetic moment = 0.00 μB/cell
1.0
4.763 0.000 0.000
0.000 4.763 0.000
0.000 0.000 4.763
Re Mo S
1 3 1
direct
0.000 0.000 0.000 Re
0.000 0.000 0.500 Mo
0.000 0.500 0.000 Mo
0.500 0.000 0.000 Mo
0.500 0.500 0.500 S

---

24.
ReMo3S | the Alexandria database | GGA-PBE | relaxed; formation energy without anion corrections = 0.732 eV per atom; theoretical density = 10.1 g cm⁻³; energy above the lowest structure with this stoichiometry = 0 meV per atom; space-group type = Pm-3m (221); total magnetic moment = 0.00 μB/cell
1.0
4.362 0.000 0.000
0.000 4.362 0.000
0.000 0.000 4.362
Re Mo S
1 3 1
direct
0.000 0.000 0.000 Re
0.000 0.500 0.500 Mo
0.500 0.000 0.500 Mo
0.500 0.500 0.000 Mo
0.500 0.500 0.500 S

---

25.
ReMoS3 | the Alexandria database | GGA-PBE | relaxed; formation energy without anion corrections = 1.054 eV per atom; theoretical density = 6.1 g cm⁻³; energy above the lowest structure with this stoichiometry = 178 meV per atom; space-group type = Pm-3m (221); total magnetic moment = 5.49 μB/cell
1.0
4.691 0.000 0.000
0.000 4.691 0.000
0.000 0.000 4.691
Re Mo S
1 1 3
direct
0.000 0.000 0.000 Re
0.500 0.500 0.500 Mo
0.000 0.500 0.500 S
0.500 0.000 0.500 S
0.500 0.500 0.000 S

---

26.
ReMo2S5 | the Alexandria database | GGA-PBE | relaxed; formation energy without anion corrections = -0.147 eV per atom; theoretical density = 4.5 g cm⁻³; space-group type = Cm (8); total magnetic moment = 0.91 μB/cell
1.0
5.378 -3.435 0.000
5.378 3.435 0.000
-2.090 0.000 5.362
Re Mo S
1 2 5
direct
0.000 0.000 0.000 Re
0.006 0.006 0.488 Mo
0.609 0.609 0.076 Mo
0.268 0.753 0.754 S
0.353 0.937 0.328 S
0.753 0.268 0.754 S
0.823 0.823 0.125 S
0.937 0.353 0.328 S

---

27.
TiRe2MoS | the Alexandria database | GGA-PBE | relaxed; formation energy without anion corrections = 0.597 eV per atom; theoretical density = 11.1 g cm⁻³; space-group type = P4/mmm (123); total magnetic moment = 0.00 μB/cell
1.0
4.340 0.000 0.000
0.000 4.340 0.000
0.000 0.000 4.353
Ti Re Mo S
1 2 1 1
direct
0.000 0.000 0.000 Ti
0.000 0.500 0.500 Re
0.500 0.000 0.500 Re
0.500 0.500 0.000 Mo
0.000 0.000 0.500 S

---

28.
VReMoS2 | the Alexandria database | GGA-PBE | relaxed; formation energy without anion corrections = 1.257 eV per atom; theoretical density = 7.2 g cm⁻³; space-group type = P4/mmm (123); total magnetic moment = 1.83 μB/cell
1.0
4.352 0.000 0.000
0.000 4.352 0.000
0.000 0.000 4.852
V Re Mo S
1 1 1 2
direct
0.000 0.000 0.000 V
0.500 0.500 0.500 Re
0.000 0.000 0.500 Mo
0.000 0.500 0.000 S
0.500 0.000 0.000 S